CsLi2Cl3 after structural relaxation, computed with PBE.

Cell: 6.932 7.430 12.755 Å, 90.00 90.00 90.00°
Positions (direct):
Cl: 0.065 0.606 0.756
Cl: 0.565 0.894 0.744
Cl: 0.435 0.606 0.244
Cl: 0.935 0.894 0.256
Cl: 0.935 0.394 0.244
Cl: 0.435 0.106 0.256
Cl: 0.565 0.394 0.756
Cl: 0.065 0.106 0.744
Cl: 0.250 0.800 0.500
Cl: 0.750 0.700 0.000
Cl: 0.750 0.200 0.500
Cl: 0.250 0.300 0.000
Cs: 0.250 0.298 0.500
Cs: 0.750 0.202 0.000
Cs: 0.750 0.702 0.500
Cs: 0.250 0.798 0.000
Li: 0.242 0.849 0.683
Li: 0.742 0.651 0.817
Li: 0.258 0.849 0.317
Li: 0.758 0.651 0.183
Li: 0.758 0.151 0.317
Li: 0.258 0.349 0.183
Li: 0.742 0.151 0.683
Li: 0.242 0.349 0.817

Uncorrected energy in eV/atom: -3.58
D(E_F) in states/eV/f.u.: 0.0
Formation energy (no corrections) in meV/atom: -1879